No. 1
GGA-PBEsol Fe2CuO4, relaxed; calculated total energy = -7.2977 eV/atom; crystal system = cubic; raw formation energy = -1.12 eV per atom
1.0
-1.7812 1.0364 -5.2890
-3.4228 -3.7024 -2.6188
-5.4386 1.3408 -0.9516
Fe Cu O
4 2 8
Direct
0.0000 0.0000 0.0000 Fe
0.0000 0.5000 0.5000 Fe
0.0000 0.5000 0.0000 Fe
0.5000 0.5000 0.0000 Fe
0.6253 0.1247 0.6247 Cu
0.3747 0.8753 0.3753 Cu
0.2362 0.7367 0.7910 O
0.2367 0.7363 0.2363 O
0.7908 0.7363 0.2363 O
0.7633 0.2637 0.7637 O
0.7638 0.2633 0.2090 O
0.2362 0.2910 0.2367 O
0.7638 0.7090 0.7633 O
0.2092 0.2637 0.7637 O

---

No. 2
GGA-PBEsol FeCuO3, relaxed; calculated total energy = -5.8535 eV/atom; crystal system = cubic; raw formation energy = -0.04 eV per atom
1.0
-1.9327 3.0602 -0.5586
-1.3687 -0.2460 3.3880
2.7935 1.9967 1.2735
O Fe Cu
3 1 1
Direct
0.0000 0.5000 0.0000 O
0.0000 0.0000 0.5000 O
0.5000 0.0000 0.0000 O
0.5000 0.5000 0.5000 Fe
0.0000 0.0000 0.0000 Cu

---

No. 3
GGA-PBEsol FeCu3P4O16, relaxed; calculated total energy = -6.8904 eV/atom; crystal system = monoclinic; raw formation energy = -1.51 eV per atom
1.0
5.0112 0.0000 0.0136
0.0000 5.9414 0.0000
-0.3229 0.0000 9.8492
Fe Cu P O
1 3 4 16
Direct
0.9447 0.0000 0.7060 Fe
0.1124 0.5000 0.3100 Cu
0.3626 0.5000 0.8073 Cu
0.6246 0.0000 0.1910 Cu
0.0663 0.0000 0.3915 P
0.4391 0.0000 0.8879 P
0.5493 0.5000 0.1131 P
0.9357 0.5000 0.6040 P
0.1195 0.0000 0.5500 O
0.2132 0.2015 0.3303 O
0.2132 0.7985 0.3303 O
0.2399 0.5000 0.6300 O
0.2481 0.5000 0.1382 O
0.2762 0.1940 0.8166 O
0.2762 0.8060 0.8166 O
0.4001 0.0000 0.0410 O
0.5825 0.5000 0.9577 O
0.7054 0.6988 0.1791 O
0.7054 0.3012 0.1791 O
0.7390 0.0000 0.8598 O
0.7627 0.0000 0.3679 O
0.8015 0.7079 0.6712 O
0.8015 0.2921 0.6712 O
0.8807 0.5000 0.4502 O